(1)
This record from Alexandria describes an optimized crystal structure of LaTh2Al. The functional is GGA-PBE.

## Properties
excess energy over the best structure of this formula in the dataset	52.9	meV/atom
DFT total energy	-5.9281	eV/atom
formation energy	-0.051	eV per atom
symmetry	P4/mmm (123)

Cell lengths 3.7006, 3.7006, 8.8053 Å; angles 90.00, 90.00, 90.00 degrees
Closest atoms and distances in Å follow each position.
Element x y z (fractional)
La1 0.0000 0.0000 0.0000  8 Th 3.66, 4 La 3.70
Th1 0.5000 0.5000 0.2902  4 Al 3.20
Th2 0.5000 0.5000 0.7098  4 Al 3.20
Al1 0.0000 0.0000 0.5000  8 Th 3.20

***

(2)
This record from Alexandria describes an optimized crystal structure of La12ThAl3. The functional is GGA-PBE.

## Properties
DFT total energy	-4.9839	eV/atom
formation energy	-0.123	eV per atom
symmetry	P4/mmm (123)

Cell lengths 5.0227, 5.0227, 20.1268 Å; angles 90.00, 90.00, 90.00 degrees
Closest atoms and distances in Å follow each position.
Element x y z (fractional)
La1 0.0000 0.0000 0.0000  8 La 3.53, 4 Al 3.55
La2 0.0000 0.0000 0.2427  8 La 3.48-3.59, 4 Al 3.55
La3 0.0000 0.0000 0.5000  4 Th 3.55, 8 La 3.62
La4 0.0000 0.0000 0.7573  8 La 3.48-3.59, 4 Al 3.55
La5 0.0000 0.5000 0.1230  8 La 3.48-3.55, 4 Al 3.51-3.53
La6 0.0000 0.5000 0.3704  8 La 3.55-3.62, 2 Al 3.57, 2 Th 3.62
La7 0.0000 0.5000 0.6296  8 La 3.55-3.62, 2 Al 3.57, 2 Th 3.62
La8 0.0000 0.5000 0.8770  8 La 3.48-3.55, 4 Al 3.51-3.53
La9 0.5000 0.0000 0.1230  8 La 3.48-3.55, 4 Al 3.51-3.53
La10 0.5000 0.0000 0.3704  8 La 3.55-3.62, 2 Al 3.57, 2 Th 3.62
La11 0.5000 0.0000 0.6296  8 La 3.55-3.62, 2 Al 3.57, 2 Th 3.62
La12 0.5000 0.0000 0.8770  8 La 3.48-3.55, 4 Al 3.51-3.53
Th1 0.5000 0.5000 0.5000  12 La 3.55-3.62
Al1 0.5000 0.5000 0.0000  12 La 3.53-3.55
Al2 0.5000 0.5000 0.2447  12 La 3.51-3.57
Al3 0.5000 0.5000 0.7553  12 La 3.51-3.57

***

(3)
This record from Alexandria describes an optimized crystal structure of LaTh2Al. The functional is GGA-PBE.

## Properties
excess energy over the best structure of this formula in the dataset	0.0	meV/atom
DFT total energy	-5.9811	eV/atom
formation energy	-0.104	eV per atom
symmetry	P4/mmm (123)

Cell lengths 4.9104, 4.9104, 4.8786 Å; angles 90.00, 90.00, 90.00 degrees
Closest atoms and distances in Å follow each position.
Element x y z (fractional)
La1 0.0000 0.0000 0.0000  8 Th 3.46, 4 Al 3.47
Th1 0.0000 0.5000 0.5000  4 Al 3.46, 4 La 3.46, 4 Th 3.47
Th2 0.5000 0.0000 0.5000  4 Al 3.46, 4 La 3.46, 4 Th 3.47
Al1 0.5000 0.5000 0.0000  8 Th 3.46, 4 La 3.47

***

(4)
This record from Alexandria describes an optimized crystal structure of LaTh2Al. The functional is GGA-PBE.

## Properties
excess energy over the best structure of this formula in the dataset	261.2	meV/atom
DFT total energy	-5.7199	eV/atom
formation energy	0.158	eV per atom
symmetry	R-3m (166)

Cell lengths 12.1605, 12.1605, 12.1605 Å; angles 16.06, 16.06, 16.06 degrees
Closest atoms and distances in Å follow each position.
Element x y z (fractional)
La1 0.0000 0.0000 0.0000  6 La 3.40, 2 Th 3.43
Th1 0.0952 0.0952 0.0952  3 Al 3.23, 6 Th 3.40, 1 La 3.43
Th2 0.9048 0.9048 0.9048  3 Al 3.23, 6 Th 3.40, 1 La 3.43
Al1 0.5000 0.5000 0.5000  6 Th 3.23, 6 Al 3.40

***

(5)
This record from Alexandria describes an optimized crystal structure of LaThAl4. The functional is GGA-PBE.

## Properties
DFT total energy	-4.9989	eV/atom
formation energy	-0.446	eV per atom
symmetry	F-43m (216)

Cell lengths 5.7201, 5.7201, 5.7201 Å; angles 60.00, 60.00, 60.00 degrees
Closest atoms and distances in Å follow each position.
Element x y z (fractional)
La1 0.0000 0.0000 0.0000  12 Al 3.35, 4 Th 3.50
Th1 0.7500 0.7500 0.7500  12 Al 3.35, 4 La 3.50
Al1 0.3754 0.3754 0.3754  6 Al 2.85-2.87
Al2 0.3754 0.3754 0.8739  6 Al 2.85-2.87
Al3 0.3754 0.8739 0.3754  6 Al 2.85-2.87
Al4 0.8739 0.3754 0.3754  6 Al 2.85-2.87

***

(6)
This record from Alexandria describes an optimized crystal structure of La6ThAl. The functional is GGA-PBE.

## Properties
DFT total energy	-4.7300	eV/atom
formation energy	0.361	eV per atom
symmetry	P-1 (2)

Cell lengths 6.7105, 6.7197, 8.8116 Å; angles 90.17, 112.19, 119.90 degrees
Closest atoms and distances in Å follow each position.
Element x y z (fractional)
La1 0.0294 0.0665 0.2354  1 Al 3.02, 1 Th 3.16
La2 0.2732 0.7075 0.2364  1 Al 3.02, 1 Th 3.16
La3 0.3277 0.5352 0.7644  1 Al 3.02, 1 Th 3.15
La4 0.6723 0.4648 0.2356  1 Al 3.02, 1 Th 3.15
La5 0.7268 0.2925 0.7636  1 Al 3.02, 1 Th 3.16
La6 0.9706 0.9335 0.7646  1 Al 3.02, 1 Th 3.16
Th1 0.5000 0.0000 0.0000  6 La 3.15-3.16
Al1 0.5000 0.5000 0.5000  6 La 3.02

***

(7)
This record from Alexandria describes an optimized crystal structure of LaThAlTl. The functional is GGA-PBE.

## Properties
DFT total energy	-4.8175	eV/atom
formation energy	-0.204	eV per atom
symmetry	F-43m (216)

Cell lengths 5.4626, 5.4626, 5.4626 Å; angles 60.00, 60.00, 60.00 degrees
Closest atoms and distances in Å follow each position.
Element x y z (fractional)
La1 0.0000 0.0000 0.0000  4 Tl 3.35, 4 Al 3.35
Th1 0.5000 0.5000 0.5000  4 Tl 3.35, 4 Al 3.35
Al1 0.7500 0.7500 0.7500  4 Th 3.35, 4 La 3.35
Tl1 0.2500 0.2500 0.2500  4 La 3.35, 4 Th 3.35

***

(8)
This record from Alexandria describes an optimized crystal structure of LaTmThAl. The functional is GGA-PBE.

## Properties
DFT total energy	-5.1536	eV/atom
formation energy	-0.013	eV per atom
symmetry	F-43m (216)

Cell lengths 5.4637, 5.4637, 5.4637 Å; angles 60.00, 60.00, 60.00 degrees
Closest atoms and distances in Å follow each position.
Element x y z (fractional)
La1 0.0000 0.0000 0.0000  4 Al 3.35, 4 Tm 3.35
Tm1 0.7500 0.7500 0.7500  4 Th 3.35, 4 La 3.35
Th1 0.5000 0.5000 0.5000  4 Tm 3.35, 4 Al 3.35
Al1 0.2500 0.2500 0.2500  4 La 3.35, 4 Th 3.35